[1]
# SmTc (PBE, optimized geometry)
# Space-group type: R-3m, No. 166
# Calculated formation energy in eV per atom: 0.0169
# D(E_F) in states/eV per cell: 4.07
data_SmTc
_symmetry_space_group_name_H-M 'P 1'
_symmetry_Int_Tables_number 1
_symmetry_space_group_name_Hall 'P 1'
_cell_length_a 4.1910
_cell_length_b 4.1910
_cell_length_c 7.1570
_cell_angle_alpha 72.95
_cell_angle_beta 72.95
_cell_angle_gamma 59.99
loop_
_atom_site_label
_atom_site_type_symbol
_atom_site_fract_x
_atom_site_fract_y
_atom_site_fract_z
Tc1 Tc 0.1809 0.1809 0.4574
Tc2 Tc 0.8191 0.8191 0.5426
Sm1 Sm 0.5975 0.5975 0.2076
Sm2 Sm 0.4025 0.4025 0.7924

***

[2]
# SmTc2 (PBE, optimized geometry)
# Space-group type: I4/mmm, No. 139
# Calculated formation energy in eV per atom: 0.1204
# D(E_F) in states/eV per cell: 3.06
data_SmTc2
_symmetry_space_group_name_H-M 'P 1'
_symmetry_Int_Tables_number 1
_symmetry_space_group_name_Hall 'P 1'
_cell_length_a 3.1430
_cell_length_b 3.1430
_cell_length_c 6.3099
_cell_angle_alpha 104.44
_cell_angle_beta 104.44
_cell_angle_gamma 90.03
loop_
_atom_site_label
_atom_site_type_symbol
_atom_site_fract_x
_atom_site_fract_y
_atom_site_fract_z
Sm1 Sm 0.5000 0.5000 0.0000
Tc1 Tc 0.1970 0.1970 0.3936
Tc2 Tc 0.8030 0.8030 0.6064

***

[3]
# Sm3Tc (PBE, optimized geometry)
# Space-group type: Imm2, No. 44
# Calculated formation energy in eV per atom: 0.0982
# D(E_F) in states/eV per cell: 5.25
data_Sm3Tc
_symmetry_space_group_name_H-M 'P 1'
_symmetry_Int_Tables_number 1
_symmetry_space_group_name_Hall 'P 1'
_cell_length_a 3.6800
_cell_length_b 5.5233
_cell_length_c 6.3910
_cell_angle_alpha 115.60
_cell_angle_beta 106.73
_cell_angle_gamma 90.00
loop_
_atom_site_label
_atom_site_type_symbol
_atom_site_fract_x
_atom_site_fract_y
_atom_site_fract_z
Tc1 Tc 0.0000 0.8829 0.0000
Sm1 Sm 0.6984 0.1269 0.3969
Sm2 Sm 0.5000 0.4269 0.0000
Sm3 Sm 0.3016 0.7300 0.6031

***

[4]
# Sm2Tc3 (PBE, optimized geometry)
# Space-group type: Cmce, No. 64
# Calculated formation energy in eV per atom: 0.0173
# D(E_F) in states/eV per cell: 9.87
data_Sm2Tc3
_symmetry_space_group_name_H-M 'P 1'
_symmetry_Int_Tables_number 1
_symmetry_space_group_name_Hall 'P 1'
_cell_length_a 5.8541
_cell_length_b 5.8541
_cell_length_c 7.7001
_cell_angle_alpha 90.00
_cell_angle_beta 90.00
_cell_angle_gamma 55.97
loop_
_atom_site_label
_atom_site_type_symbol
_atom_site_fract_x
_atom_site_fract_y
_atom_site_fract_z
Tc1 Tc 0.0000 0.0000 0.0000
Tc2 Tc 0.8239 0.3239 0.2500
Tc3 Tc 0.6761 0.1761 0.7500
Tc4 Tc 0.3239 0.8239 0.2500
Tc5 Tc 0.1761 0.6761 0.7500
Tc6 Tc 0.5000 0.5000 0.5000
Sm1 Sm 0.3330 0.3330 0.0965
Sm2 Sm 0.6670 0.6670 0.9035
Sm3 Sm 0.1670 0.1670 0.5965
Sm4 Sm 0.8330 0.8330 0.4035

***

[5]
# Sm3Tc (PBE, optimized geometry)
# Space-group type: C2/m, No. 12
# Calculated formation energy in eV per atom: 0.1076
# D(E_F) in states/eV per cell: 6.07
data_Sm3Tc
_symmetry_space_group_name_H-M 'P 1'
_symmetry_Int_Tables_number 1
_symmetry_space_group_name_Hall 'P 1'
_cell_length_a 6.9846
_cell_length_b 6.6674
_cell_length_c 6.6649
_cell_angle_alpha 79.67
_cell_angle_beta 69.97
_cell_angle_gamma 58.41
loop_
_atom_site_label
_atom_site_type_symbol
_atom_site_fract_x
_atom_site_fract_y
_atom_site_fract_z
Sm1 Sm 0.9231 0.6619 0.7608
Sm2 Sm 0.2879 0.0000 0.7288
Sm3 Sm 0.0769 0.3381 0.2392
Sm4 Sm 0.4150 0.6619 0.2392
Sm5 Sm 0.5850 0.3381 0.7608
Sm6 Sm 0.7121 0.0000 0.2712
Tc1 Tc 0.8609 0.2781 0.0000
Tc2 Tc 0.1391 0.7219 0.0000

***

[6]
# SmTc2 (PBE, optimized geometry)
# Space-group type: P6_3/mmc, No. 194
# Calculated formation energy in eV per atom: -0.0554
# D(E_F) in states/eV per cell: 11.55
data_SmTc2
_symmetry_space_group_name_H-M 'P 1'
_symmetry_Int_Tables_number 1
_symmetry_space_group_name_Hall 'P 1'
_cell_length_a 5.4636
_cell_length_b 5.4636
_cell_length_c 8.8597
_cell_angle_alpha 90.00
_cell_angle_beta 90.00
_cell_angle_gamma 120.00
loop_
_atom_site_label
_atom_site_type_symbol
_atom_site_fract_x
_atom_site_fract_y
_atom_site_fract_z
Tc1 Tc 0.8293 0.6585 0.2500
Tc2 Tc 0.6585 0.8293 0.7500
Tc3 Tc 0.3415 0.1707 0.2500
Tc4 Tc 0.8293 0.1707 0.2500
Tc5 Tc 0.0000 0.0000 0.5000
Tc6 Tc 0.1707 0.3415 0.7500
Tc7 Tc 0.1707 0.8293 0.7500
Tc8 Tc 0.0000 0.0000 0.0000
Sm1 Sm 0.6667 0.3333 0.9372
Sm2 Sm 0.3333 0.6667 0.4372
Sm3 Sm 0.6667 0.3333 0.5628
Sm4 Sm 0.3333 0.6667 0.0628

***

[7]
# Sm6TcTe2 (PBE, optimized geometry)
# Formation energy without anion corrections in eV/atom: -0.6479
# Space-group type: P-62m, No. 189
# D(E_F) in states/eV per cell: 13.04
data_Sm6TcTe2
_symmetry_space_group_name_H-M 'P 1'
_symmetry_Int_Tables_number 1
_symmetry_space_group_name_Hall 'P 1'
_cell_length_a 4.0835
_cell_length_b 8.5353
_cell_length_c 8.5338
_cell_angle_alpha 120.01
_cell_angle_beta 90.00
_cell_angle_gamma 90.00
loop_
_atom_site_label
_atom_site_type_symbol
_atom_site_fract_x
_atom_site_fract_y
_atom_site_fract_z
Te1 Te 0.0000 0.6667 0.3334
Te2 Te 0.0000 0.3333 0.6666
Sm1 Sm 0.5000 0.0000 0.5990
Sm2 Sm 0.0000 0.2393 0.0000
Sm3 Sm 0.0000 0.9999 0.2391
Sm4 Sm 0.5000 0.4010 0.4010
Sm5 Sm 0.0000 0.7608 0.7609
Sm6 Sm 0.5000 0.5988 0.0000
Tc1 Tc 0.5000 0.0003 0.0000

***

[8]
# SmTcTe (PBE, optimized geometry)
# Formation energy without anion corrections in eV/atom: 0.0417
# Space-group type: P4/nmm, No. 129
# D(E_F) in states/eV per cell: 5.73
data_SmTcTe
_symmetry_space_group_name_H-M 'P 1'
_symmetry_Int_Tables_number 1
_symmetry_space_group_name_Hall 'P 1'
_cell_length_a 3.7318
_cell_length_b 3.7318
_cell_length_c 11.5636
_cell_angle_alpha 90.00
_cell_angle_beta 90.00
_cell_angle_gamma 90.00
loop_
_atom_site_label
_atom_site_type_symbol
_atom_site_fract_x
_atom_site_fract_y
_atom_site_fract_z
Sm1 Sm 0.5000 0.0000 0.3647
Sm2 Sm 0.0000 0.5000 0.6353
Tc1 Tc 0.5000 0.0000 0.9945
Tc2 Tc 0.0000 0.5000 0.0055
Te1 Te 0.5000 0.0000 0.7687
Te2 Te 0.0000 0.5000 0.2313

***

[9]
# Sm4TcTe (PBE, optimized geometry)
# Formation energy without anion corrections in eV/atom: -0.4791
# Space-group type: Pnma, No. 62
# D(E_F) in states/eV per cell: 25.36
data_Sm4TcTe
_symmetry_space_group_name_H-M 'P 1'
_symmetry_Int_Tables_number 1
_symmetry_space_group_name_Hall 'P 1'
_cell_length_a 4.1173
_cell_length_b 8.3417
_cell_length_c 19.6930
_cell_angle_alpha 90.00
_cell_angle_beta 90.00
_cell_angle_gamma 90.00
loop_
_atom_site_label
_atom_site_type_symbol
_atom_site_fract_x
_atom_site_fract_y
_atom_site_fract_z
Sm1 Sm 0.7500 0.4994 0.5675
Sm2 Sm 0.7500 0.3616 0.8570
Sm3 Sm 0.2500 0.6419 0.9518
Sm4 Sm 0.2500 0.0006 0.0675
Sm5 Sm 0.7500 0.8616 0.6430
Sm6 Sm 0.2500 0.5006 0.4325
Sm7 Sm 0.7500 0.3581 0.0482
Sm8 Sm 0.2500 0.1419 0.5482
Sm9 Sm 0.7500 0.4581 0.2846
Sm10 Sm 0.2500 0.5419 0.7154
Sm11 Sm 0.2500 0.1384 0.3570
Sm12 Sm 0.7500 0.9994 0.9325
Sm13 Sm 0.7500 0.8581 0.4518
Sm14 Sm 0.2500 0.6384 0.1430
Sm15 Sm 0.2500 0.0419 0.7846
Sm16 Sm 0.7500 0.9581 0.2154
Te1 Te 0.7500 0.7437 0.8082
Te2 Te 0.2500 0.7563 0.3082
Te3 Te 0.2500 0.2563 0.1918
Te4 Te 0.7500 0.2437 0.6918
Tc1 Tc 0.2500 0.2505 0.9473
Tc2 Tc 0.7500 0.2495 0.4473
Tc3 Tc 0.7500 0.7495 0.0527
Tc4 Tc 0.2500 0.7505 0.5527

***

[10]
# SmTh3Tc (PBE, optimized geometry)
# Space-group type: Pm-3m, No. 221
# Calculated formation energy in eV per atom: 0.1057
# D(E_F) in states/eV per cell: 9.46
data_SmTh3Tc
_symmetry_space_group_name_H-M 'P 1'
_symmetry_Int_Tables_number 1
_symmetry_space_group_name_Hall 'P 1'
_cell_length_a 5.4994
_cell_length_b 5.4994
_cell_length_c 5.4994
_cell_angle_alpha 90.00
_cell_angle_beta 90.00
_cell_angle_gamma 90.00
loop_
_atom_site_label
_atom_site_type_symbol
_atom_site_fract_x
_atom_site_fract_y
_atom_site_fract_z
Sm1 Sm 0.5000 0.5000 0.5000
Th1 Th 0.5000 0.0000 0.0000
Th2 Th 0.0000 0.5000 0.0000
Th3 Th 0.0000 0.0000 0.5000
Tc1 Tc 0.0000 0.0000 0.0000

***

[11]
# SmThTc2 (PBE, optimized geometry)
# Space-group type: Fm-3m, No. 225
# Calculated formation energy in eV per atom: 0.0973
# D(E_F) in states/eV per cell: 6.17
data_SmThTc2
_symmetry_space_group_name_H-M 'P 1'
_symmetry_Int_Tables_number 1
_symmetry_space_group_name_Hall 'P 1'
_cell_length_a 4.9653
_cell_length_b 4.9653
_cell_length_c 4.9653
_cell_angle_alpha 60.00
_cell_angle_beta 60.00
_cell_angle_gamma 60.00
loop_
_atom_site_label
_atom_site_type_symbol
_atom_site_fract_x
_atom_site_fract_y
_atom_site_fract_z
Th1 Th 0.0000 0.0000 0.0000
Tc1 Tc 0.2500 0.2500 0.2500
Tc2 Tc 0.7500 0.7500 0.7500
Sm1 Sm 0.5000 0.5000 0.5000

***

[12]
# SmThTc (PBE, optimized geometry)
# Space-group type: R-3m, No. 166
# Calculated formation energy in eV per atom: 0.0589
# D(E_F) in states/eV per cell: 5.07
data_SmThTc
_symmetry_space_group_name_H-M 'P 1'
_symmetry_Int_Tables_number 1
_symmetry_space_group_name_Hall 'P 1'
_cell_length_a 4.6388
_cell_length_b 4.6362
_cell_length_c 9.2400
_cell_angle_alpha 104.55
_cell_angle_beta 90.00
_cell_angle_gamma 120.02
loop_
_atom_site_label
_atom_site_type_symbol
_atom_site_fract_x
_atom_site_fract_y
_atom_site_fract_z
Sm1 Sm 0.6304 0.2608 0.8907
Sm2 Sm 0.3696 0.7392 0.1093
Th1 Th 0.2114 0.4228 0.6336
Th2 Th 0.7886 0.5772 0.3664
Tc1 Tc 0.0897 0.1794 0.2702
Tc2 Tc 0.9103 0.8206 0.7298

***

Please write out number 12 again, unchanged.
# SmThTc (PBE, optimized geometry)
# Space-group type: R-3m, No. 166
# Calculated formation energy in eV per atom: 0.0589
# D(E_F) in states/eV per cell: 5.07
data_SmThTc
_symmetry_space_group_name_H-M 'P 1'
_symmetry_Int_Tables_number 1
_symmetry_space_group_name_Hall 'P 1'
_cell_length_a 4.6388
_cell_length_b 4.6362
_cell_length_c 9.2400
_cell_angle_alpha 104.55
_cell_angle_beta 90.00
_cell_angle_gamma 120.02
loop_
_atom_site_label
_atom_site_type_symbol
_atom_site_fract_x
_atom_site_fract_y
_atom_site_fract_z
Sm1 Sm 0.6304 0.2608 0.8907
Sm2 Sm 0.3696 0.7392 0.1093
Th1 Th 0.2114 0.4228 0.6336
Th2 Th 0.7886 0.5772 0.3664
Tc1 Tc 0.0897 0.1794 0.2702
Tc2 Tc 0.9103 0.8206 0.7298